This record from Alexandria via LeMat-Bulk describes a relaxed structure of PmHoMo4. The functional is PBE-GGA.

The structure in POSCAR format:
```
PmHoMo4
1.0
5.541 0.000 0.000
2.771 4.799 0.000
2.771 1.600 4.524
Mo Ho Pm
4 1 1
Cartesian
5.541 3.199 0.568
5.541 1.602 2.827
6.924 3.998 2.827
4.158 3.998 2.827
0.000 0.000 0.000
2.771 1.600 1.131
```

Computed properties:
Energy relative to the elements   155 meV/atom

=====

This record from Alexandria via LeMat-Bulk describes a relaxed structure of HoReMo. The functional is PBE-GGA.

The structure in POSCAR format:
```
HoReMo
1.0
4.740 0.000 2.662
1.665 4.503 2.587
0.056 0.103 5.452
Ho Re Mo
2 2 2
Cartesian
4.799 1.719 5.333
1.663 2.887 5.367
0.000 0.000 0.000
2.370 0.000 1.331
3.203 2.251 2.624
2.398 0.052 4.057
```

Computed properties:
Energy relative to the elements   -108 meV/atom

=====

no.,calculated total energy (eV per atom),M_tot (μB per cell)
1,-8.621,0.0
2,-9.394,0.0